Entry 1:
Material: CaGa2AsS6
Method: DFT, GGA-PBE
State: optimized geometry

Cell and atoms, written as POSCAR:
```
CaGa2AsS6
1.0
6.3984 -5.6641 0.0000
6.3984 5.6641 0.0000
-2.4612 0.0000 6.6592
Ca Ga As S
2 4 2 12
direct
0.1240 0.8760 0.7500 Ca
0.8760 0.1240 0.2500 Ca
0.2295 0.3866 0.7921 Ga
0.3866 0.2295 0.2921 Ga
0.6134 0.7705 0.7079 Ga
0.7705 0.6134 0.2079 Ga
0.2217 0.7783 0.2500 As
0.7783 0.2217 0.7500 As
0.0228 0.1911 0.6598 S
0.0906 0.6232 0.9058 S
0.1911 0.0228 0.1598 S
0.2800 0.4335 0.5067 S
0.3768 0.9094 0.5942 S
0.4335 0.2800 0.0067 S
0.5665 0.7200 0.9933 S
0.6232 0.0906 0.4058 S
0.7200 0.5665 0.4933 S
0.8089 0.9772 0.8402 S
0.9094 0.3768 0.0942 S
0.9772 0.8089 0.3402 S
```

Values from the calculation:
Formation energy (no corrections): -642 meV per atom

=====

Entry 2:
Material: Ca2GaSbAs
Method: DFT, GGA-PBE
State: optimized geometry

Cell and atoms, written as POSCAR:
```
Ca2GaSbAs
1.0
7.7381 0.0000 0.0000
0.0000 4.2647 0.0000
-3.2254 0.0000 8.6925
Ca Ga Sb As
4 2 2 2
direct
0.1947 0.2500 0.4667 Ca
0.1998 0.2500 0.9067 Ca
0.8002 0.7500 0.0933 Ca
0.8053 0.7500 0.5333 Ca
0.4800 0.2500 0.3089 Ga
0.5200 0.7500 0.6911 Ga
0.2474 0.7500 0.1908 Sb
0.7526 0.2500 0.8092 Sb
0.2054 0.7500 0.6945 As
0.7946 0.2500 0.3055 As
```

Values from the calculation:
Formation energy (no corrections): -757 meV per atom

=====

Entry 3:
Material: CaGaAsSe2
Method: DFT, GGA-PBE
State: optimized geometry

Cell and atoms, written as POSCAR:
```
CaGaAsSe2
1.0
5.4835 0.0000 0.0000
0.0000 5.4835 0.0000
0.0000 0.0000 5.4561
Ca Ga As Se
1 1 1 2
direct
0.0000 0.0000 0.0000 Ca
0.5000 0.5000 0.5000 Ga
0.0000 0.0000 0.5000 As
0.0000 0.5000 0.0000 Se
0.5000 0.0000 0.0000 Se
```

Values from the calculation:
Formation energy (no corrections): 178 meV per atom
E above lowest polymorph: 2.57 eV/f.u.

=====

Which value of formation energy (no corrections) does entry 2 give?
-757 meV per atom

=====

Which value of formation energy (no corrections) does entry 2 give?
-757 meV per atom

=====

Look up the formation energy (no corrections) of the third one.
178 meV per atom

=====

formation energy (no corrections) of number 3 (CaGaAsSe2)?
178 meV per atom